1.
Material: Ba2CrCdCu
Method: DFT, PBE
State: relaxed

## Properties
The formation energy comes out at 0.608 eV per atom. Its crystal system is tetragonal. The total magnetization comes out at 0.75 μB per atom.

Cell lengths 6.178, 5.173, 6.178 Å; angles 90.00, 90.00, 90.00 degrees
Each line ends with the local moment (μB).
Fractional coordinates of all 5 atoms:
Cr (0.000, 0.000, 0.000)  3.66
Ba (0.000, 0.000, 0.500)  -0.02
Ba (0.500, 0.000, 0.000)  0.00
Cu (0.500, 0.500, 0.500)  0.01
Cd (0.000, 0.500, 0.000)  0.03

---

2.
Material: Rb2PdRu
Method: DFT, PBE
State: relaxed

## Properties
The formation energy comes out at 1.356 eV per atom. Its crystal system is cubic. The total magnetization comes out at 0.60 μB per atom. The value obtained for the excess energy over the best structure of this formula in the dataset is 420 meV/atom.

Cell lengths 5.613, 5.613, 5.613 Å; angles 60.00, 60.00, 60.00 degrees
Each line ends with the local moment (μB).
Fractional coordinates of all 4 atoms:
Ru (0.000, 0.000, 0.000)  2.07
Rb (0.250, 0.250, 0.250)  0.01
Rb (0.750, 0.750, 0.750)  0.01
Pd (0.500, 0.500, 0.500)  0.03

---

3.
Material: Li4Cd4Hg3
Method: DFT, PBE
State: relaxed

## Properties
The formation energy comes out at -0.223 eV per atom. Its crystal system is triclinic. The total magnetization comes out at 0.00 μB per atom.

Cell lengths 3.101, 4.833, 15.267 Å; angles 80.77, 89.96, 89.86 degrees
Fractional coordinates of all 11 atoms:
Li (0.721, 0.553, 0.894)
Li (0.278, 0.446, 0.107)
Li (0.249, 0.825, 0.349)
Li (0.751, 0.175, 0.651)
Cd (0.257, 0.090, 0.819)
Cd (0.248, 0.266, 0.469)
Cd (0.751, 0.734, 0.531)
Cd (0.741, 0.910, 0.181)
Hg (0.247, 0.645, 0.711)
Hg (0.753, 0.355, 0.289)
Hg (0.005, 0.000, 0.000)

---

4.
Material: Ba6Na3Tl
Method: DFT, PBE
State: relaxed

## Properties
The formation energy comes out at -0.045 eV per atom. Its crystal system is monoclinic. The total magnetization comes out at 0.00 μB per atom. The value obtained for the excess energy over the best structure of this formula in the dataset is 30 meV/atom.

Cell lengths 6.401, 11.445, 14.207 Å; angles 90.00, 89.97, 90.00 degrees
Fractional coordinates of all 20 atoms:
Ba (0.500, 0.148, 0.922)
Ba (0.500, 0.194, 0.578)
Ba (0.501, 0.492, 0.258)
Ba (0.499, 0.508, 0.742)
Ba (0.500, 0.806, 0.422)
Ba (0.500, 0.852, 0.078)
Ba (0.000, 0.352, 0.422)
Ba (0.000, 0.306, 0.078)
Ba (0.001, 0.008, 0.758)
Ba (0.999, 0.992, 0.242)
Ba (0.000, 0.694, 0.922)
Ba (0.000, 0.648, 0.578)
Na (0.501, 0.838, 0.730)
Na (0.500, 0.500, 0.000)
Na (0.499, 0.162, 0.270)
Na (0.001, 0.662, 0.230)
Na (0.000, 0.000, 0.500)
Na (0.999, 0.338, 0.770)
Tl (0.500, 0.500, 0.500)
Tl (0.000, 0.000, 0.000)

---

5.
Material: Tb5HoEr2Th
Method: DFT, PBE
State: relaxed

## Properties
The formation energy comes out at 0.160 eV per atom. Its crystal system is orthorhombic. The total magnetization comes out at 0.00 μB per atom.

Cell lengths 5.694, 11.127, 9.667 Å; angles 90.00, 90.00, 104.83 degrees
Fractional coordinates of all 18 atoms:
Tb (0.399, 0.797, 0.042)
Tb (0.728, 0.455, 0.822)
Tb (0.468, 0.937, 0.743)
Tb (0.303, 0.607, 0.716)
Tb (0.985, 0.971, 0.517)
Tb (0.601, 0.203, 0.542)
Tb (0.272, 0.545, 0.322)
Tb (0.532, 0.063, 0.243)
Tb (0.697, 0.393, 0.216)
Tb (0.015, 0.029, 0.017)
Ho (0.811, 0.622, 0.517)
Ho (0.189, 0.378, 0.017)
Er (0.884, 0.767, 0.831)
Er (0.128, 0.256, 0.712)
Er (0.116, 0.233, 0.331)
Er (0.872, 0.744, 0.212)
Th (0.595, 0.190, 0.923)
Th (0.405, 0.810, 0.423)

---

6.
Material: V2BOs
Method: DFT, PBE
State: relaxed

## Properties
The formation energy comes out at -0.150 eV per atom. Its crystal system is tetragonal. The total magnetization comes out at 0.00 μB per atom.

Cell lengths 2.962, 2.962, 5.344 Å; angles 90.00, 90.00, 90.00 degrees
Fractional coordinates of all 4 atoms:
B (0.500, 0.500, 0.000)
Os (0.500, 0.500, 0.500)
V (0.000, 0.000, 0.793)
V (0.000, 0.000, 0.207)

---

7.
Material: Cs2RhI6
Method: DFT, PBE
State: relaxed

## Properties
The value obtained for the uncorrected formation energy is -5.98 eV/f.u. Its crystal system is tetragonal. The total magnetization comes out at 0.14 μB per atom.

Cell lengths 7.983, 7.983, 15.883 Å; angles 90.00, 90.00, 90.00 degrees
Each line ends with the local moment (μB).
Fractional coordinates of all 18 atoms:
Cs (0.000, 0.000, 0.333)  0.00
Cs (0.500, 0.500, 0.833)  0.00
Cs (0.500, 0.500, 0.167)  0.00
Cs (0.000, 0.000, 0.667)  0.00
Rh (0.000, 0.000, 0.000)  0.20
Rh (0.500, 0.500, 0.500)  0.20
I (0.332, 0.332, 0.379)  0.09
I (0.668, 0.668, 0.379)  0.09
I (0.168, 0.832, 0.879)  0.09
I (0.832, 0.168, 0.879)  0.09
I (0.168, 0.832, 0.121)  0.09
I (0.832, 0.168, 0.121)  0.09
I (0.332, 0.332, 0.621)  0.09
I (0.668, 0.668, 0.621)  0.09
I (0.237, 0.237, 0.000)  0.15
I (0.763, 0.763, 0.000)  0.15
I (0.263, 0.737, 0.500)  0.15
I (0.737, 0.263, 0.500)  0.15

---

8.
Material: Pr8Y4Tm
Method: DFT, PBE
State: relaxed

## Properties
The formation energy comes out at 0.113 eV per atom. Its crystal system is triclinic. The total magnetization comes out at 0.00 μB per atom.

Cell lengths 13.668, 7.017, 11.768 Å; angles 105.56, 149.18, 92.95 degrees
Fractional coordinates of all 13 atoms:
Pr (0.495, 0.874, 0.360)
Pr (0.524, 0.152, 0.722)
Pr (0.558, 0.382, 0.369)
Pr (0.962, 0.262, 0.688)
Pr (0.567, 0.670, 0.681)
Pr (0.044, 0.817, 0.719)
Pr (0.138, 0.305, 0.387)
Pr (0.900, 0.800, 0.277)
Y (0.073, 0.037, 0.037)
Y (0.004, 0.547, 0.056)
Y (0.421, 0.425, 0.959)
Y (0.421, 0.875, 0.889)
Tm (0.893, 0.354, 0.355)

---

9.
Material: La2MgCd
Method: DFT, PBE
State: relaxed

## Properties
The formation energy comes out at 0.003 eV per atom. Its crystal system is cubic. The total magnetization comes out at 0.43 μB per atom.

Cell lengths 5.473, 5.473, 5.473 Å; angles 60.00, 60.00, 60.00 degrees
Each line ends with the local moment (μB).
Fractional coordinates of all 4 atoms:
Cd (0.500, 0.500, 0.500)  0.01
La (0.000, 0.000, 0.000)  0.46
La (0.250, 0.250, 0.250)  0.40
Mg (0.750, 0.750, 0.750)  0.01

---

10.
Material: RbO5
Method: DFT, PBE
State: relaxed

## Properties
The value obtained for the uncorrected formation energy is -2.21 eV/f.u. Its crystal system is triclinic. The total magnetization comes out at 0.48 μB per atom.

Cell lengths 4.690, 5.351, 10.241 Å; angles 138.88, 89.97, 116.06 degrees
Each line ends with the local moment (μB).
Fractional coordinates of all 6 atoms:
Rb (0.070, 0.141, 0.044)  0.01
O (0.391, 0.783, 0.699)  0.75
O (0.652, 0.304, 0.320)  0.31
O (0.485, 0.970, 0.662)  0.80
O (0.830, 0.660, 0.363)  0.27
O (0.404, 0.809, 0.079)  0.23

---

11.
Material: Tc2MoPt
Method: DFT, PBE
State: relaxed

## Properties
The formation energy comes out at -0.092 eV per atom. Its crystal system is tetragonal. The total magnetization comes out at 0.00 μB per atom. The value obtained for the excess energy over the best structure of this formula in the dataset is 75 meV/atom.

Cell lengths 4.776, 4.776, 4.776 Å; angles 131.31, 131.33, 71.31 degrees
Fractional coordinates of all 4 atoms:
Mo (0.750, 0.250, 0.500)
Pt (0.250, 0.750, 0.500)
Tc (0.000, 0.000, 0.000)
Tc (0.500, 0.500, 0.000)

---

12.
Material: KBaCo2
Method: DFT, PBE
State: relaxed

## Properties
The formation energy comes out at 1.256 eV per atom. Its crystal system is trigonal. The total magnetization comes out at 0.81 μB per atom. The value obtained for the excess energy over the best structure of this formula in the dataset is 847 meV/atom.

Cell lengths 9.592, 9.592, 9.592 Å; angles 24.43, 24.43, 24.43 degrees
Each line ends with the local moment (μB).
Fractional coordinates of all 4 atoms:
Ba (0.750, 0.750, 0.750)  -0.16
Co (0.005, 0.005, 0.005)  1.87
Co (0.495, 0.495, 0.495)  1.87
K (0.250, 0.250, 0.250)  -0.01

---

13.
Material: CsZn2Bi2
Method: DFT, PBE
State: relaxed

## Properties
The formation energy comes out at 0.092 eV per atom. Its crystal system is tetragonal. The total magnetization comes out at 0.00 μB per atom. The value obtained for the excess energy over the best structure of this formula in the dataset is 258 meV/atom.

Cell lengths 9.440, 9.440, 3.471 Å; angles 90.00, 90.00, 90.00 degrees
Fractional coordinates of all 10 atoms:
Cs (0.000, 0.000, 0.000)
Cs (0.500, 0.500, 0.000)
Zn (0.150, 0.650, 0.500)
Zn (0.650, 0.850, 0.500)
Zn (0.850, 0.350, 0.500)
Zn (0.350, 0.150, 0.500)
Bi (0.370, 0.870, 0.000)
Bi (0.870, 0.630, 0.000)
Bi (0.630, 0.130, 0.000)
Bi (0.130, 0.370, 0.000)

---

14.
Material: Cs2Tl15In2
Method: DFT, PBE
State: relaxed

## Properties
The formation energy comes out at -0.027 eV per atom. Its crystal system is trigonal. The total magnetization comes out at 0.00 μB per atom.

Cell lengths 8.755, 8.755, 8.755 Å; angles 82.20, 82.20, 82.20 degrees
Fractional coordinates of all 19 atoms:
Cs (0.339, 0.339, 0.339)
Cs (0.661, 0.661, 0.661)
Tl (0.500, 0.000, 0.000)
Tl (0.000, 0.000, 0.500)
Tl (0.000, 0.500, 0.000)
Tl (0.000, 0.711, 0.289)
Tl (0.711, 0.289, 0.000)
Tl (0.289, 0.000, 0.711)
Tl (0.289, 0.711, 0.000)
Tl (0.711, 0.000, 0.289)
Tl (0.000, 0.289, 0.711)
Tl (0.145, 0.650, 0.650)
Tl (0.650, 0.650, 0.145)
Tl (0.650, 0.145, 0.650)
Tl (0.855, 0.350, 0.350)
Tl (0.350, 0.350, 0.855)
Tl (0.350, 0.855, 0.350)
In (0.093, 0.093, 0.093)
In (0.907, 0.907, 0.907)

---

15.
Material: CePr2Dy2Tm2
Method: DFT, PBE
State: relaxed

## Properties
The formation energy comes out at 0.149 eV per atom. Its crystal system is monoclinic. The total magnetization comes out at 0.19 μB per atom.

Cell lengths 3.438, 23.631, 15.222 Å; angles 168.53, 90.00, 94.17 degrees
Each line ends with the local moment (μB).
Fractional coordinates of all 7 atoms:
Ce (0.000, 0.000, 0.500)  0.94
Pr (0.771, 0.542, 0.179)  0.01
Pr (0.229, 0.458, 0.821)  0.01
Dy (0.629, 0.258, 0.309)  0.00
Dy (0.371, 0.742, 0.691)  0.00
Tm (0.078, 0.156, 0.957)  0.02
Tm (0.922, 0.844, 0.043)  0.02

---

16.
Material: SiSn3O
Method: DFT, PBE
State: relaxed

## Properties
The value obtained for the uncorrected formation energy is -0.02 eV/f.u. Its crystal system is cubic. The total magnetization comes out at 0.00 μB per atom. The value obtained for the excess energy over the best structure of this formula in the dataset is 0 meV/atom.

Cell lengths 4.828, 4.828, 4.828 Å; angles 90.00, 90.00, 90.00 degrees
Fractional coordinates of all 5 atoms:
Si (0.500, 0.500, 0.500)
Sn (0.000, 0.500, 0.000)
Sn (0.000, 0.000, 0.500)
Sn (0.500, 0.000, 0.000)
O (0.000, 0.000, 0.000)

---

17.
Material: NaPuSn6
Method: DFT, PBE
State: relaxed

## Properties
The formation energy comes out at -0.209 eV per atom. Its crystal system is tetragonal. The total magnetization comes out at 0.71 μB per atom.

Cell lengths 4.694, 4.694, 9.434 Å; angles 90.00, 90.00, 90.00 degrees
Each line ends with the local moment (μB).
Fractional coordinates of all 8 atoms:
Na (0.000, 0.000, 0.000)  0.00
Pu (0.000, 0.000, 0.500)  5.35
Sn (0.500, 0.500, 0.000)  -0.01
Sn (0.500, 0.500, 0.500)  -0.01
Sn (0.500, 0.000, 0.250)  0.01
Sn (0.500, 0.000, 0.750)  0.01
Sn (0.000, 0.500, 0.250)  0.01
Sn (0.000, 0.500, 0.750)  0.01

---

18.
Material: Dy6Cd5Rh
Method: DFT, PBE
State: relaxed

## Properties
The formation energy comes out at -0.420 eV per atom. Its crystal system is orthorhombic. The total magnetization comes out at 0.00 μB per atom.

Cell lengths 5.170, 7.507, 8.972 Å; angles 65.27, 73.29, 90.00 degrees
Fractional coordinates of all 12 atoms:
Cd (0.684, 0.184, 0.631)
Cd (0.333, 0.333, 0.335)
Cd (0.000, 0.500, 0.000)
Cd (0.667, 0.667, 0.665)
Cd (0.316, 0.816, 0.369)
Rh (0.000, 0.000, 0.000)
Dy (0.844, 0.611, 0.311)
Dy (0.844, 0.078, 0.311)
Dy (0.500, 0.774, 0.000)
Dy (0.500, 0.226, 0.000)
Dy (0.156, 0.922, 0.689)
Dy (0.156, 0.389, 0.689)

---

19.
Material: TiMnSi3
Method: DFT, PBE
State: relaxed

## Properties
The value obtained for the uncorrected formation energy is 6.52 eV/f.u. Its crystal system is cubic. The total magnetization comes out at 0.09 μB per atom. The value obtained for the excess energy over the best structure of this formula in the dataset is 820 meV/atom.

Cell lengths 4.664, 4.664, 4.664 Å; angles 90.00, 90.00, 90.00 degrees
Each line ends with the local moment (μB).
Fractional coordinates of all 5 atoms:
Si (0.000, 0.500, 0.000)  0.03
Si (0.000, 0.000, 0.500)  0.05
Si (0.500, 0.000, 0.000)  0.01
Mn (0.500, 0.500, 0.500)  -0.49
Ti (0.000, 0.000, 0.000)  0.00

---

20.
Material: Hf3CdRh
Method: DFT, PBE
State: relaxed

## Properties
The formation energy comes out at 0.239 eV per atom. Its crystal system is cubic. The total magnetization comes out at 0.00 μB per atom. The value obtained for the excess energy over the best structure of this formula in the dataset is 0 meV/atom.

Cell lengths 4.984, 4.984, 4.984 Å; angles 90.00, 90.00, 90.00 degrees
Fractional coordinates of all 5 atoms:
Rh (0.000, 0.000, 0.000)
Hf (0.000, 0.500, 0.000)
Hf (0.000, 0.000, 0.500)
Hf (0.500, 0.000, 0.000)
Cd (0.500, 0.500, 0.500)